1.
# Ca5Mg24 | Alexandria via LeMat-Bulk | PBEsol | relaxed
# Volume (Å³ per cell): 1462
# Energy (eV per atom): -1.835
# Calculated formation energy (eV/atom): -0.05
# Size of the total moment (Bohr magnetons per cell): 0.00
data_Ca5Mg24
_cell_length_a 11.350
_cell_length_b 11.350
_cell_length_c 11.350
_cell_angle_alpha 90.00
_cell_angle_beta 90.00
_cell_angle_gamma 90.00
_space_group_name_H-M_alt 'I -4 3 m'
_space_group_IT_number 217
_space_group_name_Hall 'I -4 2 3'
loop_
_atom_site_label
_atom_site_fract_x
_atom_site_fract_y
_atom_site_fract_z
Ca1 0.000 0.000 0.000
Ca2 0.186 0.186 0.814
Mg1 0.034 0.359 0.359
Mg2 0.092 0.092 0.283



2.
# CaMg5 | Alexandria via LeMat-Bulk | PBEsol | relaxed
# Volume (Å³ per cell): 150
# Energy (eV per atom): -1.817
# Calculated formation energy (eV/atom): -0.03
# Size of the total moment (Bohr magnetons per cell): 0.00
data_CaMg5
_cell_length_a 5.7861
_cell_length_b 5.7861
_cell_length_c 5.1798
_cell_angle_alpha 90.00
_cell_angle_beta 90.00
_cell_angle_gamma 120.00
_space_group_name_H-M_alt 'P -6 2 m'
_space_group_IT_number 189
_space_group_name_Hall 'P -6 -2'
loop_
_atom_site_label
_atom_site_fract_x
_atom_site_fract_y
_atom_site_fract_z
Ca1 0.0000 0.0000 0.0000
Mg1 0.0000 0.6213 0.5000
Mg2 0.3333 0.6667 0.0000



3.
# Ca4Mg3 | Alexandria via LeMat-Bulk | PBEsol | relaxed
# Volume (Å³ per cell): 449
# Energy (eV per atom): -2.002
# Calculated formation energy (eV/atom): -0.05
# Distance to the lowest polymorph of the same formula (meV/atom): 0.0
# Size of the total moment (Bohr magnetons per cell): 0.00
data_Ca4Mg3
_cell_length_a 3.820
_cell_length_b 3.820
_cell_length_c 30.785
_cell_angle_alpha 90.00
_cell_angle_beta 90.00
_cell_angle_gamma 90.00
_space_group_name_H-M_alt 'I 4/m m m'
_space_group_IT_number 139
_space_group_name_Hall '-I 4 2'
loop_
_atom_site_label
_atom_site_fract_x
_atom_site_fract_y
_atom_site_fract_z
Ca1 0.000 0.000 0.066
Ca2 0.000 0.000 0.344
Mg1 0.000 0.000 0.224
Mg2 0.000 0.000 0.500



4.
# CaMg4 | Alexandria via LeMat-Bulk | PBEsol | relaxed
# Volume (Å³ per cell): 254
# Energy (eV per atom): -1.823
# Calculated formation energy (eV/atom): -0.02
# Size of the total moment (Bohr magnetons per cell): 0.00
data_CaMg4
_cell_length_a 7.107
_cell_length_b 7.107
_cell_length_c 5.033
_cell_angle_alpha 90.00
_cell_angle_beta 90.00
_cell_angle_gamma 90.00
_space_group_name_H-M_alt 'I 4/m'
_space_group_IT_number 87
_space_group_name_Hall '-I 4'
loop_
_atom_site_label
_atom_site_fract_x
_atom_site_fract_y
_atom_site_fract_z
Ca1 0.000 0.000 0.000
Mg1 0.070 0.302 0.500



5.
# CaMgMn2 | Alexandria via LeMat-Bulk | PBEsol | relaxed
# Volume (Å³ per cell): 81
# Energy (eV per atom): -5.245
# Calculated formation energy (eV/atom): 0.60
# Size of the total moment (Bohr magnetons per cell): 7.40
data_CaMgMn2
_cell_length_a 3.387
_cell_length_b 3.387
_cell_length_c 7.101
_cell_angle_alpha 90.00
_cell_angle_beta 90.00
_cell_angle_gamma 90.00
_space_group_name_H-M_alt 'P 4/m m m'
_space_group_IT_number 123
_space_group_name_Hall '-P 4 2'
loop_
_atom_site_label
_atom_site_fract_x
_atom_site_fract_y
_atom_site_fract_z
Ca1 0.000 0.000 0.000
Mg1 0.000 0.000 0.500
Mn1 0.500 0.500 0.303



6.
# Ca2MgMo | Alexandria via LeMat-Bulk | PBEsol | relaxed
# Volume (Å³ per cell): 105
# Energy (eV per atom): -3.859
# Calculated formation energy (eV/atom): 0.58
# Size of the total moment (Bohr magnetons per cell): 1.66
data_Ca2MgMo
_cell_length_a 3.521
_cell_length_b 3.521
_cell_length_c 8.476
_cell_angle_alpha 90.00
_cell_angle_beta 90.00
_cell_angle_gamma 90.00
_space_group_name_H-M_alt 'P 4 m m'
_space_group_IT_number 99
loop_
_space_group_symop_operation_xyz
'x,y,z'
'-y,x,z'
'-x,-y,z'
'y,-x,z'
'-x,y,z'
'y,x,z'
'x,-y,z'
'-y,-x,z'
loop_
_atom_site_label
_atom_site_fract_x
_atom_site_fract_y
_atom_site_fract_z
Ca1 0.000 0.000 0.000
Ca2 0.500 0.500 0.365
Mg1 0.000 0.000 0.619
Mo1 0.500 0.500 0.769



7.
# Ca2MgMo | Alexandria via LeMat-Bulk | PBEsol | relaxed
# Volume (Å³ per cell): 204
# Energy (eV per atom): -3.792
# Calculated formation energy (eV/atom): 0.65
# Size of the total moment (Bohr magnetons per cell): 4.09
data_Ca2MgMo
_cell_length_a 3.583
_cell_length_b 5.288
_cell_length_c 10.776
_cell_angle_alpha 90.00
_cell_angle_beta 90.00
_cell_angle_gamma 90.00
_space_group_name_H-M_alt 'I m m 2'
_space_group_IT_number 44
loop_
_space_group_symop_operation_xyz
'x,y,z'
'-x,-y,z'
'-x,y,z'
'x,-y,z'
'x+1/2,y+1/2,z+1/2'
'-x+1/2,-y+1/2,z+1/2'
'-x+1/2,y+1/2,z+1/2'
'x+1/2,-y+1/2,z+1/2'
loop_
_atom_site_label
_atom_site_fract_x
_atom_site_fract_y
_atom_site_fract_z
Ca1 0.000 0.000 0.000
Ca2 0.000 0.500 0.212
Mg1 0.000 0.500 0.771
Mo1 0.000 0.000 0.469



8.
# CaMgMo3 | Alexandria via LeMat-Bulk | PBEsol | relaxed
# Volume (Å³ per cell): 105
# Energy (eV per atom): -5.752
# Calculated formation energy (eV/atom): 2.08
# Size of the total moment (Bohr magnetons per cell): 1.62
data_CaMgMo3
_cell_length_a 4.710
_cell_length_b 4.710
_cell_length_c 4.710
_cell_angle_alpha 90.00
_cell_angle_beta 90.00
_cell_angle_gamma 90.00
_space_group_name_H-M_alt 'P m -3 m'
_space_group_IT_number 221
_space_group_name_Hall '-P 4 2 3'
loop_
_atom_site_label
_atom_site_fract_x
_atom_site_fract_y
_atom_site_fract_z
Ca1 0.000 0.000 0.000
Mg1 0.500 0.500 0.500
Mo1 0.000 0.500 0.500



9.
# CaMgMo | Alexandria via LeMat-Bulk | PBEsol | relaxed
# Volume (Å³ per cell): 324
# Energy (eV per atom): -3.861
# Calculated formation energy (eV/atom): 1.35
# Size of the total moment (Bohr magnetons per cell): 13.36
data_CaMgMo
_cell_length_a 6.869
_cell_length_b 6.869
_cell_length_c 6.869
_cell_angle_alpha 90.00
_cell_angle_beta 90.00
_cell_angle_gamma 90.00
_space_group_name_H-M_alt 'F -4 3 m'
_space_group_IT_number 216
_space_group_name_Hall 'F -4 2 3'
loop_
_atom_site_label
_atom_site_fract_x
_atom_site_fract_y
_atom_site_fract_z
Ca1 0.000 0.000 0.000
Mg1 0.250 0.250 0.750
Mo1 0.000 0.000 0.500



10.
# CaMg3Mo | Alexandria via LeMat-Bulk | PBEsol | relaxed
# Volume (Å³ per cell): 136
# Energy (eV per atom): -3.067
# Calculated formation energy (eV/atom): 0.74
# Distance to the lowest polymorph of the same formula (meV/atom): 0.0
# Size of the total moment (Bohr magnetons per cell): 1.49
data_CaMg3Mo
_cell_length_a 5.144
_cell_length_b 5.144
_cell_length_c 5.144
_cell_angle_alpha 90.00
_cell_angle_beta 90.00
_cell_angle_gamma 90.00
_space_group_name_H-M_alt 'P m -3 m'
_space_group_IT_number 221
_space_group_name_Hall '-P 4 2 3'
loop_
_atom_site_label
_atom_site_fract_x
_atom_site_fract_y
_atom_site_fract_z
Ca1 0.000 0.000 0.000
Mg1 0.000 0.500 0.500
Mo1 0.500 0.500 0.500



11.
# Ca2MgMo | Alexandria via LeMat-Bulk | PBEsol | relaxed
# Volume (Å³ per cell): 103
# Energy (eV per atom): -3.720
# Calculated formation energy (eV/atom): 0.72
# Size of the total moment (Bohr magnetons per cell): 3.07
data_Ca2MgMo
_cell_length_a 5.207
_cell_length_b 5.207
_cell_length_c 3.802
_cell_angle_alpha 90.00
_cell_angle_beta 90.00
_cell_angle_gamma 90.00
_space_group_name_H-M_alt 'P 4/m m m'
_space_group_IT_number 123
_space_group_name_Hall '-P 4 2'
loop_
_atom_site_label
_atom_site_fract_x
_atom_site_fract_y
_atom_site_fract_z
Ca1 0.000 0.500 0.000
Mg1 0.000 0.000 0.500
Mo1 0.500 0.500 0.500



12.
# CaMg2Mo | Alexandria via LeMat-Bulk | PBEsol | relaxed
# Volume (Å³ per cell): 166
# Energy (eV per atom): -3.776
# Calculated formation energy (eV/atom): 0.56
# Size of the total moment (Bohr magnetons per cell): 0.00
data_CaMg2Mo
_cell_length_a 6.126
_cell_length_b 10.118
_cell_length_c 2.844
_cell_angle_alpha 90.00
_cell_angle_beta 109.17
_cell_angle_gamma 90.00
_space_group_name_H-M_alt 'C 1 2/m 1'
_space_group_IT_number 12
loop_
_space_group_symop_operation_xyz
'x,y,z'
'-x,-y,-z'
'-x,y,-z'
'x,-y,z'
'x+1/2,y+1/2,z'
'-x+1/2,-y+1/2,-z'
'-x+1/2,y+1/2,-z'
'x+1/2,-y+1/2,z'
loop_
_atom_site_label
_atom_site_fract_x
_atom_site_fract_y
_atom_site_fract_z
Ca1 0.000 0.000 0.000
Mg1 0.250 0.250 0.500
Mo1 0.000 0.500 0.000



13.
# CaMg2MoPd | Alexandria via LeMat-Bulk | PBEsol | relaxed
# Volume (Å³ per cell): 127
# Energy (eV per atom): -3.045
# Calculated formation energy (eV/atom): 1.61
# Size of the total moment (Bohr magnetons per cell): 3.05
data_CaMg2MoPd
_cell_length_a 5.224
_cell_length_b 5.224
_cell_length_c 4.636
_cell_angle_alpha 90.00
_cell_angle_beta 90.00
_cell_angle_gamma 90.00
_space_group_name_H-M_alt 'P 4/m m m'
_space_group_IT_number 123
_space_group_name_Hall '-P 4 2'
loop_
_atom_site_label
_atom_site_fract_x
_atom_site_fract_y
_atom_site_fract_z
Ca1 0.000 0.000 0.000
Mg1 0.000 0.500 0.000
Mo1 0.500 0.500 0.500
Pd1 0.000 0.000 0.500